No. 1
This record from the Alexandria database describes a geometry-optimized In4Hg3 structure. The functional is PBE.

## Properties
The value obtained for the energy of formation from the pure elements is 0.0631 eV per atom. As for the distance to the lowest polymorph of the same formula: 0.041 eV per atom. Its space group is P-1. Its total energy is -1.63 eV per atom.

```
14
Lattice="5.7646 0.0000 0.0000 1.0250 9.2760 0.0000 1.6874 4.5037 8.0079" Properties=species:S:1:pos:R:3 pbc="T T T"
In 1.1154 3.8364 3.9129
In 1.2763 8.4589 1.4168
In 2.3653 8.2774 6.6285
In 2.7801 11.4450 6.6157
In 5.6969 2.3348 1.3922
In 6.1116 5.5023 1.3793
In 7.2006 5.3208 6.5910
In 7.3615 9.9433 4.0950
Hg 3.2375 4.3082 1.6246
Hg 4.4594 6.0894 7.6055
Hg 4.3663 10.0708 2.9269
Hg 4.1106 3.7089 5.0809
Hg 4.0175 7.6903 0.4024
Hg 5.2394 9.4715 6.3832
```

No. 2
This record from the Alexandria database describes a geometry-optimized In5Hg2 structure. The functional is PBE.

## Properties
The value obtained for the energy of formation from the pure elements is 0.0150 eV per atom. As for the distance to the lowest polymorph of the same formula: 0.000 eV per atom. Its space group is C2/c. Its total energy is -2.03 eV per atom.

```
14
Lattice="16.3916 -1.6350 0.0000 16.3916 1.6350 0.0000 -1.0033 0.0000 7.0844" Properties=species:S:1:pos:R:3 pbc="T T T"
In 15.6391 1.5461 5.3133
In 6.4587 0.0833 4.2934
In 6.9604 -0.0833 0.7511
In 13.0792 0.0674 6.8172
In 13.5808 -0.0674 3.2749
In 18.1991 0.0674 3.8095
In 18.7008 -0.0674 0.2673
In 24.8196 0.0833 6.3333
In 25.3213 -0.0833 2.7911
In 16.1408 -1.5461 1.7711
Hg 3.7865 0.4122 5.7918
Hg 4.2881 -0.4122 2.2496
Hg 27.4918 0.4122 4.8348
Hg 27.9935 -0.4122 1.2926
```

No. 3
This record from the Alexandria database describes a geometry-optimized In7Hg4 structure. The functional is PBE.

## Properties
The value obtained for the energy of formation from the pure elements is 0.0299 eV per atom. Its space group is Cm. Its total energy is -1.82 eV per atom.

```
11
Lattice="8.5409 -4.9313 0.0000 8.5409 4.9313 0.0000 -0.0199 0.0000 3.5630" Properties=species:S:1:pos:R:3 pbc="T T T"
In 0.0000 0.0000 0.0000
In 3.1864 0.0000 1.7684
In 6.9332 2.1635 1.7899
In 9.1112 0.0000 3.5626
In 12.5168 1.9550 0.0003
In 6.9332 -2.1635 1.7899
In 12.5168 -1.9550 0.0003
Hg 5.6944 0.0000 0.0005
Hg 9.9561 2.4632 1.7806
Hg 9.9561 -2.4632 1.7806
Hg 14.2220 0.0000 1.7832
```

No. 4
This record from the Alexandria database describes a geometry-optimized InHg structure. The functional is PBE.

## Properties
The value obtained for the energy of formation from the pure elements is 0.0070 eV per atom. Its space group is P-1. Its total energy is -1.51 eV per atom.

```
2
Lattice="3.4990 0.0000 0.0000 0.4789 3.8119 0.0000 0.3601 0.2904 3.9963" Properties=species:S:1:pos:R:3 pbc="T T T"
In 0.0000 0.0000 0.0000
Hg 2.1690 2.0512 1.9981
```

No. 5
This record from the Alexandria database describes a geometry-optimized In5Hg8 structure. The functional is PBE.

## Properties
The value obtained for the energy of formation from the pure elements is 0.0410 eV per atom. Its space group is C2/m. Its total energy is -1.20 eV per atom.

```
13
Lattice="6.1149 -4.3664 0.0000 6.1149 4.3664 0.0000 -5.9963 0.0000 6.8012" Properties=species:S:1:pos:R:3 pbc="T T T"
In 0.0000 0.0000 0.0000
In 0.3017 0.0000 3.2697
In 3.1168 1.7692 3.4006
In 3.1168 -1.7692 3.4006
In 5.9318 0.0000 3.5315
Hg -3.5500 0.0000 5.0416
Hg -0.7820 1.8008 5.4637
Hg 3.9165 0.0000 0.9282
Hg 7.0155 1.8008 1.3375
Hg -0.7820 -1.8008 5.4637
Hg 2.3170 0.0000 5.8730
Hg 7.0155 -1.8008 1.3375
Hg 9.7835 0.0000 1.7596
```

No. 6
This record from the Alexandria database describes a geometry-optimized InHg structure. The functional is PBE.

## Properties
The value obtained for the energy of formation from the pure elements is 0.0238 eV per atom. Its space group is P2_12_12_1. Its total energy is -1.50 eV per atom.

```
16
Lattice="6.6454 0.0000 0.0000 0.0000 7.7031 0.0000 0.0000 0.0000 8.6707" Properties=species:S:1:pos:R:3 pbc="T T T"
In 1.0615 1.5871 0.5116
In 1.2736 3.3223 3.4477
In 2.0491 4.3808 7.7830
In 2.2612 6.1159 4.8470
In 4.3842 2.2644 8.1591
In 4.5963 0.5292 5.2230
In 5.3717 7.1738 0.8877
In 5.5838 5.4387 3.8237
Hg 0.5518 2.0555 6.1393
Hg 0.5668 0.3510 3.2990
Hg 2.7559 7.3520 7.6343
Hg 2.7709 5.6476 1.8040
Hg 3.8745 1.7961 2.5314
Hg 3.8895 3.5005 5.3718
Hg 6.0785 4.2026 1.0364
Hg 6.0935 5.9070 6.8667
```

No. 7
This record from the Alexandria database describes a geometry-optimized InHg structure. The functional is PBE.

## Properties
The value obtained for the energy of formation from the pure elements is 0.0094 eV per atom. Its space group is C2/c. Its total energy is -1.51 eV per atom.

```
8
Lattice="6.2669 0.0000 0.0000 0.0000 6.3935 0.0000 -2.5678 0.0000 5.3249" Properties=species:S:1:pos:R:3 pbc="T T T"
In -0.6420 0.8436 1.3312
In -1.9259 5.5499 3.9937
In 1.2076 2.3532 3.9937
In 2.4915 4.0403 1.3312
Hg -1.9259 2.3661 3.9937
Hg -0.6420 4.0274 1.3312
Hg 2.4915 0.8307 1.3312
Hg 1.2076 5.5628 3.9937
```

No. 8
This record from the Alexandria database describes a geometry-optimized In3Hg2 structure. The functional is PBE.

## Properties
The value obtained for the energy of formation from the pure elements is 0.0283 eV per atom. As for the distance to the lowest polymorph of the same formula: 0.027 eV per atom. Its space group is P-3m1. Its total energy is -1.74 eV per atom.

```
5
Lattice="4.9357 0.0000 0.0000 -2.4679 4.2744 0.0000 0.0000 0.0000 6.7848" Properties=species:S:1:pos:R:3 pbc="T T T"
In 0.0000 0.0000 0.0000
In 0.0000 2.8496 2.3302
In 2.4679 1.4248 4.4546
Hg 0.0000 2.8496 5.4441
Hg 2.4679 1.4248 1.3407
```

No. 9
This record from the Alexandria database describes a geometry-optimized In5Hg structure. The functional is PBE.

## Properties
The value obtained for the energy of formation from the pure elements is 0.0097 eV per atom. As for the distance to the lowest polymorph of the same formula: 0.000 eV per atom. Its space group is Cmmm. Its total energy is -2.32 eV per atom.

```
12
Lattice="4.5150 0.0000 0.0000 0.0000 15.2384 0.0000 0.0000 0.0000 4.6865" Properties=species:S:1:pos:R:3 pbc="T T T"
In 0.0000 0.0000 0.0000
In 0.0000 2.5459 2.3433
In 0.0000 5.0865 0.0000
In 0.0000 10.1519 0.0000
In 0.0000 12.6925 2.3433
In 2.2575 2.5327 0.0000
In 2.2575 5.0733 2.3433
In 2.2575 7.6192 0.0000
In 2.2575 10.1651 2.3433
In 2.2575 12.7057 0.0000
Hg 0.0000 7.6192 2.3433
Hg 2.2575 0.0000 2.3433
```

No. 10
This record from the Alexandria database describes a geometry-optimized InHg structure. The functional is PBE.

## Properties
The value obtained for the energy of formation from the pure elements is 0.0247 eV per atom. Its space group is Cmme. Its total energy is -1.50 eV per atom.

```
8
Lattice="3.3699 0.0000 0.0000 0.0000 5.6644 0.0000 0.0000 0.0000 11.3598" Properties=species:S:1:pos:R:3 pbc="T T T"
In 0.0000 1.4161 1.4320
In 0.0000 4.2483 9.9278
In 1.6849 1.4161 9.9278
In 1.6849 4.2483 1.4320
Hg 0.0000 1.4161 7.0874
Hg 0.0000 4.2483 4.2724
Hg 1.6849 1.4161 4.2724
Hg 1.6849 4.2483 7.0874
```

No. 11
This record from the Alexandria database describes a geometry-optimized In5Hg7 structure. The functional is PBE.

## Properties
The value obtained for the energy of formation from the pure elements is 0.0164 eV per atom. As for the distance to the lowest polymorph of the same formula: 0.005 eV per atom. Its space group is C2/m. Its total energy is -1.30 eV per atom.

```
12
Lattice="7.4157 -1.7000 0.0000 7.4157 1.7000 0.0000 -1.0103 0.0000 13.0095" Properties=species:S:1:pos:R:3 pbc="T T T"
In 0.0000 0.0000 0.0000
In 2.0168 0.0000 5.5609
In 5.1181 0.0000 1.6816
In 8.7029 0.0000 11.3279
In 11.8042 0.0000 7.4486
Hg 0.1357 0.0000 3.2227
Hg 1.9526 0.0000 8.6838
Hg 3.9531 0.0000 11.4446
Hg 6.9105 0.0000 6.5047
Hg 9.8679 0.0000 1.5649
Hg 11.8685 0.0000 4.3257
Hg 13.6853 0.0000 9.7868
```

> The lowest energy of formation from the pure elements belongs to which entry?

number 4